1.
# Cs5PS4Br2, optimized geometry, DFT GGA-PBE
data_Cs5PS4Br2
_symmetry_space_group_name_H-M 'P 1'
_symmetry_Int_Tables_number 1
_cell_length_a 10.383
_cell_length_b 7.294
_cell_length_c 7.294
_cell_angle_alpha 106.94
_cell_angle_beta 90.00
_cell_angle_gamma 90.00
loop_
_symmetry_equiv_pos_as_xyz
'x,y,z'
loop_
_atom_site_label
_atom_site_type_symbol
_atom_site_fract_x
_atom_site_fract_y
_atom_site_fract_z
Cs1 Cs 0.000 0.000 0.000
Cs2 Cs 0.277 0.297 0.697
Cs3 Cs 0.277 0.697 0.297
Cs4 Cs 0.723 0.297 0.697
Cs5 Cs 0.723 0.697 0.297
P1 P 0.500 0.940 0.940
S1 S 0.339 0.080 0.080
S2 S 0.500 0.657 0.942
S3 S 0.500 0.942 0.657
S4 S 0.661 0.080 0.080
Br1 Br 0.000 0.500 0.993
Br2 Br 0.000 0.993 0.500
# **Final energy**: -44.25 eV per cell

---

2.
# CsPS2Br, optimized geometry, DFT GGA-PBE
data_CsPS2Br
_symmetry_space_group_name_H-M 'P 1'
_symmetry_Int_Tables_number 1
_cell_length_a 5.640
_cell_length_b 5.640
_cell_length_c 9.488
_cell_angle_alpha 90.00
_cell_angle_beta 90.00
_cell_angle_gamma 90.00
loop_
_symmetry_equiv_pos_as_xyz
'x,y,z'
loop_
_atom_site_label
_atom_site_type_symbol
_atom_site_fract_x
_atom_site_fract_y
_atom_site_fract_z
Cs1 Cs 0.000 0.000 0.000
P1 P 0.000 0.000 0.500
S1 S 0.000 0.500 0.000
S2 S 0.500 0.000 0.000
Br1 Br 0.500 0.500 0.500
# **Final energy**: -9.00 eV per cell
# **Excess energy over the best structure of this formula in the dataset**: 0.840 eV per atom

---

3.
# CsPS3Br, optimized geometry, DFT GGA-PBE
data_CsPS3Br
_symmetry_space_group_name_H-M 'P 1'
_symmetry_Int_Tables_number 1
_cell_length_a 8.215
_cell_length_b 8.215
_cell_length_c 6.403
_cell_angle_alpha 92.11
_cell_angle_beta 92.11
_cell_angle_gamma 119.90
loop_
_symmetry_equiv_pos_as_xyz
'x,y,z'
loop_
_atom_site_label
_atom_site_type_symbol
_atom_site_fract_x
_atom_site_fract_y
_atom_site_fract_z
Cs1 Cs 0.198 0.802 0.750
Cs2 Cs 0.802 0.198 0.250
P1 P 0.455 0.545 0.250
P2 P 0.545 0.455 0.750
S1 S 0.301 0.364 0.910
S2 S 0.315 0.685 0.250
S3 S 0.364 0.301 0.410
S4 S 0.636 0.699 0.590
S5 S 0.685 0.315 0.750
S6 S 0.699 0.636 0.090
Br1 Br 0.066 0.934 0.250
Br2 Br 0.934 0.066 0.750
# **Final energy**: -45.93 eV per cell

---

4.
# CsSbPBr, optimized geometry, DFT GGA-PBE
data_CsSbPBr
_symmetry_space_group_name_H-M 'P 1'
_symmetry_Int_Tables_number 1
_cell_length_a 3.819
_cell_length_b 6.090
_cell_length_c 7.056
_cell_angle_alpha 89.62
_cell_angle_beta 74.43
_cell_angle_gamma 90.00
loop_
_symmetry_equiv_pos_as_xyz
'x,y,z'
loop_
_atom_site_label
_atom_site_type_symbol
_atom_site_fract_x
_atom_site_fract_y
_atom_site_fract_z
Cs1 Cs 0.000 0.000 0.000
Sb1 Sb 0.749 0.575 0.493
P1 P 0.259 0.846 0.474
Br1 Br 0.544 0.498 0.913
# **Final energy**: -14.25 eV per cell
# **Excess energy over the best structure of this formula in the dataset**: 0.008 eV per atom

---

5.
# CsSbPBr, optimized geometry, DFT GGA-PBE
data_CsSbPBr
_symmetry_space_group_name_H-M 'P 1'
_symmetry_Int_Tables_number 1
_cell_length_a 6.925
_cell_length_b 6.925
_cell_length_c 6.077
_cell_angle_alpha 90.50
_cell_angle_beta 90.50
_cell_angle_gamma 31.94
loop_
_symmetry_equiv_pos_as_xyz
'x,y,z'
loop_
_atom_site_label
_atom_site_type_symbol
_atom_site_fract_x
_atom_site_fract_y
_atom_site_fract_z
Cs1 Cs 0.000 0.000 0.000
Sb1 Sb 0.221 0.221 0.502
P1 P 0.596 0.596 0.499
Br1 Br 0.270 0.270 0.024
# **Final energy**: -14.28 eV per cell
# **Excess energy over the best structure of this formula in the dataset**: 0.000 eV per atom

---

6.
# Cs2PSeBr6, optimized geometry, DFT GGA-PBE
data_Cs2PSeBr6
_symmetry_space_group_name_H-M 'P 1'
_symmetry_Int_Tables_number 1
_cell_length_a 7.743
_cell_length_b 7.743
_cell_length_c 7.743
_cell_angle_alpha 119.21
_cell_angle_beta 119.21
_cell_angle_gamma 91.37
loop_
_symmetry_equiv_pos_as_xyz
'x,y,z'
loop_
_atom_site_label
_atom_site_type_symbol
_atom_site_fract_x
_atom_site_fract_y
_atom_site_fract_z
Cs1 Cs 0.250 0.750 0.500
Cs2 Cs 0.750 0.250 0.500
P1 P 0.000 0.000 0.000
Se1 Se 0.500 0.500 0.000
Br1 Br 0.232 0.232 0.464
Br2 Br 0.232 0.768 0.000
Br3 Br 0.241 0.241 0.000
Br4 Br 0.759 0.759 0.000
Br5 Br 0.768 0.232 0.000
Br6 Br 0.768 0.768 0.536
# **Final energy**: -28.28 eV per cell

---

7.
# Cs2PSeBr5, optimized geometry, DFT GGA-PBE
data_Cs2PSeBr5
_symmetry_space_group_name_H-M 'P 1'
_symmetry_Int_Tables_number 1
_cell_length_a 7.674
_cell_length_b 7.674
_cell_length_c 7.674
_cell_angle_alpha 119.13
_cell_angle_beta 119.13
_cell_angle_gamma 91.52
loop_
_symmetry_equiv_pos_as_xyz
'x,y,z'
loop_
_atom_site_label
_atom_site_type_symbol
_atom_site_fract_x
_atom_site_fract_y
_atom_site_fract_z
Cs1 Cs 0.000 0.500 0.500
Cs2 Cs 0.500 0.000 0.500
P1 P 0.265 0.265 0.000
Se1 Se 0.477 0.477 0.000
Br1 Br 0.023 0.023 0.000
Br2 Br 0.023 0.023 0.547
Br3 Br 0.023 0.476 0.000
Br4 Br 0.476 0.023 0.000
Br5 Br 0.476 0.476 0.453
# **Final energy**: -25.98 eV per cell

---

8.
# Cs5PSe4Br2, optimized geometry, DFT GGA-PBE
data_Cs5PSe4Br2
_symmetry_space_group_name_H-M 'P 1'
_symmetry_Int_Tables_number 1
_cell_length_a 10.712
_cell_length_b 7.411
_cell_length_c 7.411
_cell_angle_alpha 107.91
_cell_angle_beta 90.00
_cell_angle_gamma 90.00
loop_
_symmetry_equiv_pos_as_xyz
'x,y,z'
loop_
_atom_site_label
_atom_site_type_symbol
_atom_site_fract_x
_atom_site_fract_y
_atom_site_fract_z
Cs1 Cs 0.000 0.000 0.000
Cs2 Cs 0.267 0.302 0.692
Cs3 Cs 0.267 0.692 0.302
Cs4 Cs 0.733 0.302 0.692
Cs5 Cs 0.733 0.692 0.302
P1 P 0.500 0.958 0.958
Se1 Se 0.330 0.109 0.109
Se2 Se 0.500 0.657 0.956
Se3 Se 0.500 0.956 0.657
Se4 Se 0.670 0.109 0.109
Br1 Br 0.000 0.503 0.992
Br2 Br 0.000 0.992 0.503
# **Final energy**: -40.82 eV per cell